1.
The following is a DFT calculation (PBE) of a relaxed structure of BaV2Sn.

a b c (Å): 4.7633 4.7633 10.4729
angles (deg): 76.86 76.86 90.00
With the nearest neighbours (Å) after each atom.
Atoms (fractional coordinates):
1 Ba 0.0000 0.0000 0.0000  4 Sn 3.37, 8 V 3.62-3.66
2 Ba 0.7500 0.2500 0.5000  4 Sn 3.37, 8 V 3.62-3.66
3 Sn 0.5000 0.5000 0.0000  4 V 2.75
4 Sn 0.2500 0.7500 0.5000  4 V 2.75
5 V 0.3690 0.1250 0.2500  2 V 2.38
6 V 0.3810 0.6250 0.2500  2 V 2.38
7 V 0.3750 0.6310 0.7500  2 V 2.38
8 V 0.8750 0.6190 0.7500  2 V 2.38

Values from the calculation:
- E_form (eV/f.u.) = 2.6
- energy (eV/atom) = -5.395



2.
The following is a DFT calculation (PBE) of a relaxed structure of Cs2KRuCl6.

a b c (Å): 7.6542 7.6542 7.6540
angles (deg): 60.00 60.00 90.00
With the nearest neighbours (Å) after each atom.
Atoms (fractional coordinates):
1 Cs 0.7500 0.2500 0.5000  12 Cl 3.84
2 Cs 0.2500 0.7500 0.5000  12 Cl 3.84
3 Ru 0.0000 0.0000 0.0000  6 Cl 2.39
4 K 0.5000 0.5000 0.0000  6 Cl 3.02-3.03
5 Cl 0.2206 0.2206 0.5589  1 Ru 2.39
6 Cl 0.7794 0.7794 0.4411  1 Ru 2.39
7 Cl 0.2205 0.2205 0.0000  1 Ru 2.39
8 Cl 0.7795 0.7795 0.0000  1 Ru 2.39
9 Cl 0.7795 0.2205 0.0000  1 Ru 2.39
10 Cl 0.2205 0.7795 0.0000  1 Ru 2.39

Values from the calculation:
- ΔE_f (raw) (eV/atom) = -1.41
- energy (eV/atom) = -3.726



3.
The following is a DFT calculation (PBE) of a relaxed structure of FeAgTe2I.

a b c (Å): 5.4645 5.4645 5.5384
angles (deg): 90.00 90.00 90.00
With the nearest neighbours (Å) after each atom.
Atoms (fractional coordinates):
1 I 0.0000 0.0000 0.5000  2 Ag 2.77
2 Te 0.0000 0.5000 0.0000  2 Ag 2.73
3 Te 0.5000 0.0000 0.0000  2 Ag 2.73
4 Fe 0.5000 0.5000 0.5000  4 I 3.86, 8 Te 3.89
5 Ag 0.0000 0.0000 0.0000  4 Te 2.73, 2 I 2.77

Values from the calculation:
- ΔE_f (raw) (eV/atom) = 0.97
- energy (eV/atom) = -2.857
- E above lowest polymorph (meV/atom) = 470



4.
The following is a DFT calculation (PBE) of a relaxed structure of KCdCu2Cl8.

a b c (Å): 6.4574 6.4574 9.0308
angles (deg): 90.00 90.00 120.00
With the nearest neighbours (Å) after each atom.
Atoms (fractional coordinates):
1 K 0.0000 0.0000 0.0000  12 Cl 3.56-3.73
2 Cd 0.0000 0.0000 0.5000  6 Cl 2.65
3 Cu 0.6667 0.3333 0.2624  4 Cl 2.20-2.25
4 Cu 0.3333 0.6667 0.7376  4 Cl 2.20-2.25
5 Cl 0.3333 0.6667 0.9813  1 Cu 2.20
6 Cl 0.3237 0.3243 0.3192  1 Cu 2.25
7 Cl 0.6757 0.9994 0.3192  1 Cu 2.25
8 Cl 0.6667 0.3333 0.0187  1 Cu 2.20
9 Cl 0.3243 0.0006 0.6808  1 Cu 2.25
10 Cl 0.6763 0.6757 0.6808  1 Cu 2.25
11 Cl 0.9994 0.3237 0.6808  1 Cu 2.25
12 Cl 0.0006 0.6763 0.3192  1 Cu 2.25

Values from the calculation:
- ΔE_f (raw) (eV/atom) = -0.75
- energy (eV/atom) = -2.835